Record 1
# PBE Hg2RuRh, optimized geometry
# ΔE_f: 3.2 eV per formula unit
# relative energy among the computed polymorphs: 548 meV/atom
data_Hg2RuRh
_symmetry_space_group_name_H-M 'P 1'
_symmetry_Int_Tables_number 1
_cell_length_a 7.478
_cell_length_b 7.478
_cell_length_c 5.978
_cell_angle_alpha 51.29
_cell_angle_beta 51.29
_cell_angle_gamma 90.00
loop_
_symmetry_equiv_pos_as_xyz
'x,y,z'
loop_
_atom_site_label
_atom_site_fract_x
_atom_site_fract_y
_atom_site_fract_z
_atom_site_occupancy
Ru1 0.500 0.500 0.000 1
Ru2 0.250 0.750 0.500 1
Rh1 0.000 0.000 0.000 1
Rh2 0.750 0.250 0.500 1
Hg1 0.627 0.125 0.250 1
Hg2 0.123 0.625 0.250 1
Hg3 0.375 0.373 0.750 1
Hg4 0.875 0.877 0.750 1

Record 2
# PBE LiTe3O, optimized geometry
# energy relative to the elements, uncorrected: 64.9 kJ/mol of atoms
# relative energy among the computed polymorphs: 811 meV/atom
data_LiTe3O
_symmetry_space_group_name_H-M 'P 1'
_symmetry_Int_Tables_number 1
_cell_length_a 4.871
_cell_length_b 4.871
_cell_length_c 4.871
_cell_angle_alpha 90.00
_cell_angle_beta 90.00
_cell_angle_gamma 90.00
loop_
_symmetry_equiv_pos_as_xyz
'x,y,z'
loop_
_atom_site_label
_atom_site_fract_x
_atom_site_fract_y
_atom_site_fract_z
_atom_site_occupancy
Te1 0.000 0.500 0.000 1
Te2 0.000 0.000 0.500 1
Te3 0.500 0.000 0.000 1
O1 0.500 0.500 0.500 1
Li1 0.000 0.000 0.000 1

Record 3
# PBE K3Al2InO6, optimized geometry
# energy relative to the elements, uncorrected: -186.5 kJ/mol of atoms
data_K3Al2InO6
_symmetry_space_group_name_H-M 'P 1'
_symmetry_Int_Tables_number 1
_cell_length_a 5.936
_cell_length_b 5.936
_cell_length_c 6.994
_cell_angle_alpha 90.00
_cell_angle_beta 90.00
_cell_angle_gamma 120.00
loop_
_symmetry_equiv_pos_as_xyz
'x,y,z'
loop_
_atom_site_label
_atom_site_fract_x
_atom_site_fract_y
_atom_site_fract_z
_atom_site_occupancy
K1 0.333 0.667 0.755 1
K2 0.667 0.333 0.245 1
K3 0.000 0.000 0.000 1
Al1 0.667 0.333 0.692 1
Al2 0.333 0.667 0.308 1
In1 0.000 0.000 0.500 1
O1 0.665 0.832 0.301 1
O2 0.168 0.335 0.301 1
O3 0.168 0.832 0.301 1
O4 0.832 0.665 0.699 1
O5 0.335 0.168 0.699 1
O6 0.832 0.168 0.699 1

Record 4
# PBE Sr2MgGaHg6, optimized geometry
# ΔE_f: -2.7 eV per formula unit
data_Sr2MgGaHg6
_symmetry_space_group_name_H-M 'P 1'
_symmetry_Int_Tables_number 1
_cell_length_a 9.114
_cell_length_b 6.418
_cell_length_c 7.290
_cell_angle_alpha 74.44
_cell_angle_beta 47.79
_cell_angle_gamma 92.31
loop_
_symmetry_equiv_pos_as_xyz
'x,y,z'
loop_
_atom_site_label
_atom_site_fract_x
_atom_site_fract_y
_atom_site_fract_z
_atom_site_occupancy
Sr1 0.257 0.816 0.473 1
Sr2 0.743 0.184 0.527 1
Mg1 0.500 0.500 0.000 1
Ga1 0.000 0.000 0.000 1
Hg1 0.170 0.665 0.076 1
Hg2 0.762 0.830 0.929 1
Hg3 0.381 0.315 0.502 1
Hg4 0.830 0.335 0.924 1
Hg5 0.238 0.170 0.071 1
Hg6 0.619 0.685 0.498 1

Record 5
# PBE PmEr2F, optimized geometry
# energy relative to the elements, uncorrected: -83.1 kJ/mol of atoms
data_PmEr2F
_symmetry_space_group_name_H-M 'P 1'
_symmetry_Int_Tables_number 1
_cell_length_a 3.591
_cell_length_b 3.591
_cell_length_c 9.562
_cell_angle_alpha 79.18
_cell_angle_beta 79.18
_cell_angle_gamma 60.00
loop_
_symmetry_equiv_pos_as_xyz
'x,y,z'
loop_
_atom_site_label
_atom_site_fract_x
_atom_site_fract_y
_atom_site_fract_z
_atom_site_occupancy
F1 0.500 0.500 0.500 1
Pm1 0.000 0.000 0.000 1
Er1 0.119 0.119 0.644 1
Er2 0.881 0.881 0.356 1

Record 6
# PBE Ca2CdBi, optimized geometry
# ΔE_f: -2.3 eV per formula unit
# relative energy among the computed polymorphs: 38 meV/atom
data_Ca2CdBi
_symmetry_space_group_name_H-M 'P 1'
_symmetry_Int_Tables_number 1
_cell_length_a 3.982
_cell_length_b 3.982
_cell_length_c 7.537
_cell_angle_alpha 90.00
_cell_angle_beta 90.00
_cell_angle_gamma 90.00
loop_
_symmetry_equiv_pos_as_xyz
'x,y,z'
loop_
_atom_site_label
_atom_site_fract_x
_atom_site_fract_y
_atom_site_fract_z
_atom_site_occupancy
Ca1 0.000 0.000 0.748 1
Ca2 0.000 0.000 0.252 1
Bi1 0.500 0.500 0.500 1
Cd1 0.500 0.500 0.000 1

Record 7
# PBE ZrUTcRu, optimized geometry
# ΔE_f: -0.9 eV per formula unit
data_ZrUTcRu
_symmetry_space_group_name_H-M 'P 1'
_symmetry_Int_Tables_number 1
_cell_length_a 4.714
_cell_length_b 4.714
_cell_length_c 4.714
_cell_angle_alpha 60.00
_cell_angle_beta 60.00
_cell_angle_gamma 60.00
loop_
_symmetry_equiv_pos_as_xyz
'x,y,z'
loop_
_atom_site_label
_atom_site_fract_x
_atom_site_fract_y
_atom_site_fract_z
_atom_site_occupancy
Ru1 0.000 0.000 0.000 1
U1 0.750 0.750 0.750 1
Tc1 0.500 0.500 0.500 1
Zr1 0.250 0.250 0.250 1

Record 8
# PBE PmPuBiO2, optimized geometry
# energy relative to the elements, uncorrected: -230.3 kJ/mol of atoms
data_PmPuBiO2
_symmetry_space_group_name_H-M 'P 1'
_symmetry_Int_Tables_number 1
_cell_length_a 3.974
_cell_length_b 3.974
_cell_length_c 7.268
_cell_angle_alpha 105.87
_cell_angle_beta 105.87
_cell_angle_gamma 90.00
loop_
_symmetry_equiv_pos_as_xyz
'x,y,z'
loop_
_atom_site_label
_atom_site_fract_x
_atom_site_fract_y
_atom_site_fract_z
_atom_site_occupancy
Pm1 0.839 0.839 0.678 1
Pu1 0.162 0.162 0.324 1
Bi1 0.504 0.504 0.007 1
O1 0.748 0.248 0.496 1
O2 0.248 0.748 0.496 1

Number 1: ρ 12.88 Mg/m³, electronic total energy -3.499 eV/atom. Number 2: ρ 5.83 Mg/m³, electronic total energy -2.586 eV/atom. Number 3: ρ 2.97 Mg/m³, electronic total energy -5.539 eV/atom. Number 4: ρ 8.45 Mg/m³, electronic total energy -1.247 eV/atom. Number 5: ρ 7.94 Mg/m³, electronic total energy -4.799 eV/atom. Number 6: ρ 5.58 Mg/m³, electronic total energy -2.769 eV/atom. Number 7: ρ 11.85 Mg/m³, electronic total energy -10.104 eV/atom. Number 8: ρ 9.88 Mg/m³, electronic total energy -8.963 eV/atom.